No. 1
Below is a relaxed structure of NaCu3Sb, with properties calculated at the PBE level.

```
data_NaCu3Sb
_cell_length_a 4.906
_cell_length_b 4.906
_cell_length_c 4.906
_cell_angle_alpha 90.00
_cell_angle_beta 90.00
_cell_angle_gamma 90.00
_space_group_name_H-M_alt 'P 1'
_space_group_IT_number 1
_space_group_name_Hall 'P 1'
loop_
_atom_site_label
_atom_site_type_symbol
_atom_site_fract_x
_atom_site_fract_y
_atom_site_fract_z
_atom_site_occupancy
Na1 Na 0.000 0.000 0.000 1
Cu1 Cu 0.000 0.500 0.500 1
Cu2 Cu 0.500 0.000 0.500 1
Cu3 Cu 0.500 0.500 0.000 1
Sb1 Sb 0.500 0.500 0.500 1
```

Computed properties:
- space group = Pm-3m (221)
- raw formation energy (meV per atom) = 396
- calculated volume (Å³ per atom) = 23.6
- ρ (g cm⁻³) = 4.7
- E above lowest polymorph (meV per atom) = 0


No. 2
Below is a relaxed structure of Na3Cu2Sb4, with properties calculated at the PBE level.

```
data_Na3Cu2Sb4
_cell_length_a 7.912
_cell_length_b 7.912
_cell_length_c 6.745
_cell_angle_alpha 97.43
_cell_angle_beta 97.43
_cell_angle_gamma 32.99
_space_group_name_H-M_alt 'P 1'
_space_group_IT_number 1
_space_group_name_Hall 'P 1'
loop_
_atom_site_label
_atom_site_type_symbol
_atom_site_fract_x
_atom_site_fract_y
_atom_site_fract_z
_atom_site_occupancy
Na1 Na 0.000 0.000 0.000 1
Na2 Na 0.139 0.139 0.600 1
Na3 Na 0.861 0.861 0.400 1
Cu1 Cu 0.373 0.373 0.056 1
Cu2 Cu 0.627 0.627 0.944 1
Sb1 Sb 0.206 0.206 0.126 1
Sb2 Sb 0.475 0.475 0.699 1
Sb3 Sb 0.525 0.525 0.301 1
Sb4 Sb 0.794 0.794 0.874 1
```

Computed properties:
- space group = C2/m (12)
- raw formation energy (meV per atom) = -139
- calculated volume (Å³ per atom) = 25.3
- ρ (g cm⁻³) = 5.0
- E above lowest polymorph (meV per atom) = 95